Below is an optimized crystal structure of VHgP2Cl, with properties calculated at the PBE level. Values from VASP.

The structure in Quantum ESPRESSO input format:
```
&SYSTEM
  ibrav = 0, nat = 5, ntyp = 4
/
ATOMIC_SPECIES
P 30.97 P.upf
Cl 35.45 Cl.upf
Hg 200.59 Hg.upf
V 50.94 V.upf
CELL_PARAMETERS angstrom
4.5760 0.0000 0.0000
0.0000 4.5760 0.0000
0.0000 0.0000 4.9559
ATOMIC_POSITIONS angstrom
P 0.0000 2.2880 0.0000
P 2.2880 0.0000 0.0000
Cl 0.0000 0.0000 2.4779
Hg 2.2880 2.2880 2.4779
V 0.0000 0.0000 0.0000
```

Calculated values
E_tot ... -4.34 eV/atom
Fermi-level density of states ... 2.15 states/eV/cell
Excess energy over the best structure of this formula in the dataset ... 0.00 eV/f.u.

***

Below is an optimized crystal structure of K3Tb3SbSe8, with properties calculated at the PBE level. Values from VASP.

The structure in Quantum ESPRESSO input format:
```
&SYSTEM
  ibrav = 0, nat = 15, ntyp = 4
/
ATOMIC_SPECIES
K 39.10 K.upf
Tb 158.93 Tb.upf
Sb 121.76 Sb.upf
Se 78.96 Se.upf
CELL_PARAMETERS angstrom
8.3506 -0.0006 0.0007
-4.1758 7.2317 -0.0288
0.0010 -4.7913 7.8456
ATOMIC_POSITIONS angstrom
K 0.0000 0.0000 0.0000
K -2.0879 3.6158 -0.0144
K 2.0874 3.6155 -0.0141
Tb 4.1758 -2.3960 3.9232
Tb 2.0879 1.2199 3.9087
Tb -2.0874 1.2202 3.9084
Sb 0.0005 -2.3957 3.9228
Se 0.0000 2.4187 2.3012
Se 4.1758 0.0211 5.5163
Se 4.1751 2.4794 2.3373
Se 0.0007 -0.0397 5.4802
Se 6.3157 -1.2284 2.3528
Se -2.1399 3.6682 5.4647
Se 2.0353 -1.2280 2.3526
Se 2.1405 3.6678 5.4649
```

Calculated values
E_tot ... -4.72 eV/atom
Fermi-level density of states ... 2.25 states/eV/cell

***

Below is an optimized crystal structure of TbErCd, with properties calculated at the PBE level. Values from VASP.

The structure in Quantum ESPRESSO input format:
```
&SYSTEM
  ibrav = 0, nat = 3, ntyp = 3
/
ATOMIC_SPECIES
Tb 158.93 Tb.upf
Er 167.26 Er.upf
Cd 112.41 Cd.upf
CELL_PARAMETERS angstrom
5.1317 0.0000 0.0000
2.5658 4.4331 0.2803
2.5658 1.2139 4.2729
ATOMIC_POSITIONS angstrom
Tb 7.6975 4.2360 3.4155
Er 2.5658 1.4111 1.1377
Cd 5.1317 5.6470 4.5531
```

Calculated values
E_tot ... -3.27 eV/atom
Fermi-level density of states ... 4.39 states/eV/cell
Excess energy over the best structure of this formula in the dataset ... 0.87 eV/f.u.

***

Below is an optimized crystal structure of PmAgGe, with properties calculated at the PBE level. Values from VASP.

The structure in Quantum ESPRESSO input format:
```
&SYSTEM
  ibrav = 0, nat = 18, ntyp = 3
/
ATOMIC_SPECIES
Pm 145.00 Pm.upf
Ag 107.87 Ag.upf
Ge 72.64 Ge.upf
CELL_PARAMETERS angstrom
-0.5744 -0.7420 -4.2596
-4.9727 -5.1199 1.5624
-9.0943 8.5640 -0.2654
ATOMIC_POSITIONS angstrom
Pm -6.4529 -0.0297 -2.4744
Pm -11.4083 0.8723 0.2699
Pm -3.2331 1.8298 -3.2325
Pm -4.4624 -3.2687 -2.1786
Pm -8.1885 2.7318 -0.4882
Pm -10.1790 5.9708 -0.7840
Ag -5.9152 -4.5329 0.4707
Ag -8.5674 -0.6199 0.1467
Ag -10.8566 2.9850 -2.4057
Ag -6.0740 3.3220 -3.1093
Ag -3.7849 -0.2829 -0.5569
Ag -8.7263 7.2350 -3.4332
Ge -12.1725 3.7999 -0.1370
Ge -8.5648 4.5154 -2.9813
Ge -9.4699 0.5346 -2.1658
Ge -2.4689 -1.0978 -2.8256
Ge -5.1715 2.1675 -0.7967
Ge -6.0766 -1.8132 0.0187
```

Calculated values
E_tot ... -4.71 eV/atom
Fermi-level density of states ... 3.12 states/eV/cell
Excess energy over the best structure of this formula in the dataset ... 0.00 eV/f.u.

***

Below is an optimized crystal structure of LiLaGdCd, with properties calculated at the PBE level. Values from VASP.

The structure in Quantum ESPRESSO input format:
```
&SYSTEM
  ibrav = 0, nat = 4, ntyp = 4
/
ATOMIC_SPECIES
Cd 112.41 Cd.upf
Gd 157.25 Gd.upf
Li 6.94 Li.upf
La 138.91 La.upf
CELL_PARAMETERS angstrom
5.4211 0.0000 0.0000
2.7106 4.6948 0.0000
2.7106 1.5649 4.4263
ATOMIC_POSITIONS angstrom
Cd 2.7106 1.5649 1.1066
Gd 0.0000 0.0000 0.0000
Li 8.1317 4.6948 3.3198
La 5.4211 3.1299 2.2132
```

Calculated values
E_tot ... -5.59 eV/atom
Fermi-level density of states ... 4.56 states/eV/cell

***

Below is an optimized crystal structure of GaPd3Br, with properties calculated at the PBE level. Values from VASP.

The structure in Quantum ESPRESSO input format:
```
&SYSTEM
  ibrav = 0, nat = 5, ntyp = 3
/
ATOMIC_SPECIES
Ga 69.72 Ga.upf
Br 79.90 Br.upf
Pd 106.42 Pd.upf
CELL_PARAMETERS angstrom
-0.2472 4.1323 2.2766
-4.6836 -0.4897 0.3802
0.5685 -2.2370 4.1222
ATOMIC_POSITIONS angstrom
Ga 0.0000 0.0000 0.0000
Br -2.1811 0.7028 3.3895
Pd -2.3418 -0.2448 0.1901
Pd 0.2843 -1.1185 2.0611
Pd -0.1236 2.0662 1.1383
```

Calculated values
E_tot ... -3.81 eV/atom
Fermi-level density of states ... 0.29 states/eV/cell
Excess energy over the best structure of this formula in the dataset ... 0.00 eV/f.u.